(1)
Computed, not measured: a geometry-optimized Ge3MoIr structure at the PBE level of DFT.

Geometry as POSCAR:
```
Ge3MoIr
1.0
-3.5368 3.1591 0.6703
-0.6605 -1.6807 4.4359
3.1612 3.1833 1.6769
Ge Ir Mo
3 1 1
Direct
0.5000 0.0000 0.0000
0.0000 0.0000 0.5000
0.0000 0.5000 0.0000
0.0000 0.0000 0.0000
0.5000 0.5000 0.5000
```

DFT total energy ... -5.76 eV/atom
Total magnetization ... 3.35 μB/f.u.
Symmetry ... Pm-3m, No. 221
Calculated formation energy ... 0.9524 eV per atom
Density of states at the Fermi level ... 2.7 states/eV per cell

---

(2)
Computed, not measured: a geometry-optimized GeMo2Ir structure at the PBE level of DFT.

Geometry as POSCAR:
```
GeMo2Ir
1.0
-5.1567 4.2506 -2.1464
0.6777 -2.4766 -6.5325
-4.0556 -1.0421 -3.7965
Mo Ir Ge
4 2 2
Direct
0.8750 0.8762 0.7500
0.6262 0.1250 0.2500
0.3750 0.3738 0.7500
0.1238 0.6250 0.2500
0.0000 0.0000 0.0000
0.7500 0.2500 0.5000
0.5000 0.5000 0.0000
0.2500 0.7500 0.5000
```

DFT total energy ... -8.34 eV/atom
Total magnetization ... 0.00 μB/f.u.
Symmetry ... I-42d, No. 122
Calculated formation energy ... 0.4433 eV per atom
Density of states at the Fermi level ... 6.7 states/eV per cell

---

- Number 2 is which compound?
  GeMo2Ir

---

- Which value of total magnetization does entry 1 give?
  3.35 μB/f.u.

---

- Which value of density of states at the Fermi level does entry 2 give?
  6.7 states/eV per cell

---

- Number 2 is which compound?
  GeMo2Ir